Entry 1:
The following is a DFT calculation (PBE) of a relaxed structure of NiGe2.

Properties
Volume, Å³ per atom: 17.5
Total DFT energy (no corrections), eV/atom: -4.972
Total magnetic moment, μB/cell: 0.00

Lattice parameters (Å, degrees): 5.6244 5.6244 3.3273 90.00 90.00 90.00
Space group P4_2/mnm (No. 136)
Unique sites:
Ni (0.0000, 0.0000, 0.0000) [2 per cell]
Ge (0.2100, 0.2100, 0.5000) [4 per cell]

Entry 2:
The following is a DFT calculation (PBE) of a relaxed structure of SiBiMo4N2.

Properties
Volume, Å³ per atom: 14.8
Total DFT energy (no corrections), eV/atom: -8.674
Total magnetic moment, μB/cell: 0.00

Lattice parameters (Å, degrees): 3.3082 3.3082 12.4924 90.00 90.00 120.00
Space group P-6m2 (No. 187)
Unique sites:
Si (0.0000, 0.0000, 0.0000) [1 per cell]
Bi (0.3333, 0.6667, 0.5000) [1 per cell]
Mo (0.0000, 0.0000, 0.2964) [2 per cell]
Mo (0.3333, 0.6667, 0.1337) [2 per cell]
N (0.6667, 0.3333, 0.2458) [2 per cell]